1.
Here is a crystal of Ir2OsRu relaxed with PBEsol from the Alexandria database. Energies are from meta-GGA SCAN.

The space group is P4mm (No. 99) and the conventional cell measures 2.6919, 2.6919 and 7.6395 Å, with angles of 90.00, 90.00 and 90.00 degrees. Symmetry generates all atoms from Ir at (0.0000, 0.0000, 0.0000), Ir at (0.5000, 0.5000, 0.2566), Os at (0.0000, 0.0000, 0.5060) and Ru at (0.5000, 0.5000, 0.7523).

Its density of states at the Fermi level is 2.88 states/eV per cell. For the total magnetization, the calculation gives 0.00 μB/cell. The calculation puts the volume at 55.4 Å³/cell. The calculation puts the total DFT energy (no corrections) at -248.87 eV per formula unit. The formation energy comes out at 8 meV/atom.


2.
Here is a crystal of CsLi3Zn relaxed with PBEsol from the Alexandria database. Energies are from meta-GGA SCAN.

The space group is Pm-3m (No. 221) and the conventional cell measures 5.3842, 5.3842 and 5.3842 Å, with angles of 90.00, 90.00 and 90.00 degrees. Symmetry generates all atoms from Cs at (0.0000, 0.0000, 0.0000), Li at (0.0000, 0.0000, 0.5000) and Zn at (0.5000, 0.5000, 0.5000).

Its density of states at the Fermi level is 2.07 states/eV per cell. For the total magnetization, the calculation gives 0.00 μB/cell. The calculation puts the volume at 156.1 Å³/cell. The calculation puts the total DFT energy (no corrections) at -53.38 eV per formula unit. The formation energy comes out at 1024 meV/atom.


3.
Here is a crystal of TiSnS2Cl relaxed with PBEsol from the Alexandria database. Energies are from meta-GGA SCAN.

The space group is P4/mmm (No. 123) and the conventional cell measures 4.9947, 4.9947 and 4.9217 Å, with angles of 90.00, 90.00 and 90.00 degrees. Symmetry generates all atoms from Ti at (0.0000, 0.0000, 0.0000), Sn at (0.5000, 0.5000, 0.5000), S at (0.0000, 0.5000, 0.5000) and Cl at (0.5000, 0.5000, 0.0000).

Its density of states at the Fermi level is 1.22 states/eV per cell. The uncorrected formation energy comes out at -0.3 eV per formula unit. For the total magnetization, the calculation gives 2.09 μB/cell. The calculation puts the volume at 122.8 Å³/cell. The calculation puts the total DFT energy (no corrections) at -79.48 eV per formula unit.


4.
Here is a crystal of KMo3S3 relaxed with PBEsol from the Alexandria database. Energies are from meta-GGA SCAN.

The space group is P6_3/m (No. 176) and the conventional cell measures 8.7120, 8.7120 and 4.3940 Å, with angles of 90.00, 90.00 and 120.00 degrees. Symmetry generates all atoms from K at (0.3333, 0.6667, 0.2500), Mo at (0.0319, 0.1889, 0.2500) and S at (0.0611, 0.3529, 0.7500).

Its density of states at the Fermi level is 1.22 states/eV per cell. The uncorrected formation energy comes out at -6.4 eV per formula unit. For the total magnetization, the calculation gives 0.00 μB/cell. The calculation puts the volume at 288.8 Å³/cell. The calculation puts the total DFT energy (no corrections) at -148.29 eV per formula unit.


5.
Here is a crystal of NbTePdBr2 relaxed with PBEsol from the Alexandria database. Energies are from meta-GGA SCAN.

The space group is P4/mmm (No. 123) and the conventional cell measures 4.8857, 4.8857 and 5.2743 Å, with angles of 90.00, 90.00 and 90.00 degrees. Symmetry generates all atoms from Nb at (0.0000, 0.0000, 0.0000), Te at (0.5000, 0.5000, 0.5000), Pd at (0.0000, 0.0000, 0.5000) and Br at (0.0000, 0.5000, 0.0000).

Its density of states at the Fermi level is 3.71 states/eV per cell. The uncorrected formation energy comes out at 1.7 eV per formula unit. For the total magnetization, the calculation gives 0.00 μB/cell. The calculation puts the volume at 125.9 Å³/cell. The calculation puts the total DFT energy (no corrections) at -140.37 eV per formula unit.


6.
Here is a crystal of Ca5Cu relaxed with PBEsol from the Alexandria database. Energies are from meta-GGA SCAN.

The space group is P4/mmm (No. 123) and the conventional cell measures 3.6849, 3.6849 and 14.7590 Å, with angles of 90.00, 90.00 and 90.00 degrees. Symmetry generates all atoms from Ca at (0.0000, 0.0000, 0.0000), Ca at (0.0000, 0.0000, 0.3882), Ca at (0.5000, 0.5000, 0.1931) and Cu at (0.5000, 0.5000, 0.5000).

Its density of states at the Fermi level is 5.33 states/eV per cell. For the total magnetization, the calculation gives 0.45 μB/cell. The calculation puts the volume at 200.4 Å³/cell. The calculation puts the total DFT energy (no corrections) at -63.47 eV per formula unit. The formation energy comes out at 7 meV/atom.


7.
Here is a crystal of Sc2Nb3Si3 relaxed with PBEsol from the Alexandria database. Energies are from meta-GGA SCAN.

The space group is Amm2 (No. 38) and the conventional cell measures 5.3103, 13.3738 and 7.6496 Å, with angles of 90.00, 90.00 and 90.00 degrees. Symmetry generates all atoms from Sc at (0.0000, 0.0000, 0.0000), Sc at (0.0000, 0.1250, 0.3683), Sc at (0.5000, 0.0000, 0.4923), Nb at (0.2494, 0.1666, 0.7437), Nb at (0.5000, 0.1312, 0.1120), Si at (0.0000, 0.0000, 0.6407), Si at (0.0000, 0.1973, 0.0457), Si at (0.5000, 0.0000, 0.8545) and Si at (0.5000, 0.1962, 0.4385).

Its density of states at the Fermi level is 13.30 states/eV per cell. The uncorrected formation energy comes out at -5.8 eV per formula unit. For the total magnetization, the calculation gives 0.00 μB/cell. The calculation puts the volume at 543.3 Å³/cell. The calculation puts the total DFT energy (no corrections) at -163.67 eV per formula unit.


8.
Here is a crystal of CaHgRh relaxed with PBEsol from the Alexandria database. Energies are from meta-GGA SCAN.

The space group is I4mm (No. 107) and the conventional cell measures 3.4573, 3.4573 and 10.0014 Å, with angles of 90.00, 90.00 and 90.00 degrees. Symmetry generates all atoms from Ca at (0.0000, 0.0000, 0.0000), Hg at (0.0000, 0.0000, 0.3047) and Rh at (0.0000, 0.0000, 0.6671).

Its density of states at the Fermi level is 3.20 states/eV per cell. For the total magnetization, the calculation gives 0.00 μB/cell. The calculation puts the volume at 119.5 Å³/cell. The calculation puts the total DFT energy (no corrections) at -112.52 eV per formula unit. The formation energy comes out at -306 meV/atom.


9.
Here is a crystal of MnTlNi2 relaxed with PBEsol from the Alexandria database. Energies are from meta-GGA SCAN.

The space group is R3m (No. 160, hexagonal axes) and the conventional cell measures 2.9637, 2.9637 and 23.3852 Å, with angles of 90.00, 90.00 and 120.00 degrees. Symmetry generates all atoms from Mn at (0.0000, 0.0000, 0.0000), Tl at (0.0000, 0.0000, 0.2332), Ni at (0.0000, 0.0000, 0.4787) and Ni at (0.0000, 0.0000, 0.7382).

Its density of states at the Fermi level is 8.56 states/eV per cell. For the total magnetization, the calculation gives 15.14 μB/cell. The calculation puts the volume at 177.9 Å³/cell. The calculation puts the total DFT energy (no corrections) at -121.51 eV per formula unit. The formation energy comes out at 363 meV/atom.


10.
Here is a crystal of Tb5Mg24 relaxed with PBEsol from the Alexandria database. Energies are from meta-GGA SCAN.

The space group is I-43m (No. 217) and the conventional cell measures 11.1797, 11.1797 and 11.1797 Å, with angles of 90.00, 90.00 and 90.00 degrees. Symmetry generates all atoms from Tb at (0.0000, 0.0000, 0.0000), Tb at (0.1870, 0.1870, 0.8130), Mg at (0.0326, 0.3566, 0.3566) and Mg at (0.0900, 0.0900, 0.2811).

Its density of states at the Fermi level is 32.58 states/eV per cell. For the total magnetization, the calculation gives 2.43 μB/cell. The calculation puts the volume at 1397.3 Å³/cell. The calculation puts the total DFT energy (no corrections) at -354.76 eV per formula unit. The formation energy comes out at -55 meV/atom.


11.
Here is a crystal of CrPbI2N relaxed with PBEsol from the Alexandria database. Energies are from meta-GGA SCAN.

The space group is P4/mmm (No. 123) and the conventional cell measures 6.1190, 6.1190 and 4.0951 Å, with angles of 90.00, 90.00 and 90.00 degrees. Symmetry generates all atoms from Cr at (0.0000, 0.0000, 0.0000), Pb at (0.5000, 0.5000, 0.5000), I at (0.0000, 0.5000, 0.5000) and N at (0.5000, 0.5000, 0.0000).

Its density of states at the Fermi level is 7.22 states/eV per cell. The uncorrected formation energy comes out at 4.6 eV per formula unit. For the total magnetization, the calculation gives 5.49 μB/cell. The calculation puts the volume at 153.3 Å³/cell. The calculation puts the total DFT energy (no corrections) at -172.32 eV per formula unit.


12.
Here is a crystal of Mg2Tl2Pb relaxed with PBEsol from the Alexandria database. Energies are from meta-GGA SCAN.

The space group is P4/mbm (No. 127) and the conventional cell measures 8.7868, 8.7868 and 3.3040 Å, with angles of 90.00, 90.00 and 90.00 degrees. Symmetry generates all atoms from Mg at (0.1389, 0.3611, 0.0000), Tl at (0.1581, 0.6581, 0.5000) and Pb at (0.0000, 0.0000, 0.5000).

Its density of states at the Fermi level is 4.04 states/eV per cell. For the total magnetization, the calculation gives 0.00 μB/cell. The calculation puts the volume at 255.1 Å³/cell. The calculation puts the total DFT energy (no corrections) at -230.75 eV per formula unit. The formation energy comes out at -61 meV/atom.